DFT (PBE) results for a relaxed YBiNO2 crystal.

CIF file:
```
data_YBiNO2
_chemical_formula_sum 'Y1 Bi1 N1 O2'
_space_group_name_H-M_alt 'P 4/m m m'
_space_group_IT_number 123
_space_group_name_Hall '-P 4 2'
_cell_length_a 4.298
_cell_length_b 4.298
_cell_length_c 4.385
_cell_angle_alpha 90.00
_cell_angle_beta 90.00
_cell_angle_gamma 90.00
loop_
_atom_site_label
_atom_site_type_symbol
_atom_site_fract_x
_atom_site_fract_y
_atom_site_fract_z
Y1 Y 0.000 0.000 0.000
Bi1 Bi 0.500 0.500 0.500
N1 N 0.500 0.500 0.000
O1 O 0.000 0.500 0.500
```

* raw formation energy: -723 meV/atom

---

DFT (PBE) results for a relaxed ZrBiN2O crystal.

CIF file:
```
data_ZrBiN2O
_chemical_formula_sum 'Zr1 Bi1 N2 O1'
_space_group_name_H-M_alt 'P 4/m m m'
_space_group_IT_number 123
_space_group_name_Hall '-P 4 2'
_cell_length_a 4.251
_cell_length_b 4.251
_cell_length_c 4.150
_cell_angle_alpha 90.00
_cell_angle_beta 90.00
_cell_angle_gamma 90.00
loop_
_atom_site_label
_atom_site_type_symbol
_atom_site_fract_x
_atom_site_fract_y
_atom_site_fract_z
Zr1 Zr 0.000 0.000 0.000
Bi1 Bi 0.500 0.500 0.500
N1 N 0.000 0.500 0.500
O1 O 0.500 0.500 0.000
```

* raw formation energy: 576 meV/atom

---

DFT (PBE) results for a relaxed ZrBiNO2 crystal.

CIF file:
```
data_ZrBiNO2
_chemical_formula_sum 'Zr1 Bi1 N1 O2'
_space_group_name_H-M_alt 'P 4/m m m'
_space_group_IT_number 123
_space_group_name_Hall '-P 4 2'
_cell_length_a 4.101
_cell_length_b 4.101
_cell_length_c 4.445
_cell_angle_alpha 90.00
_cell_angle_beta 90.00
_cell_angle_gamma 90.00
loop_
_atom_site_label
_atom_site_type_symbol
_atom_site_fract_x
_atom_site_fract_y
_atom_site_fract_z
Zr1 Zr 0.000 0.000 0.000
Bi1 Bi 0.500 0.500 0.500
N1 N 0.000 0.000 0.500
O1 O 0.000 0.500 0.000
```

* raw formation energy: -1318 meV/atom

---

DFT (PBE) results for a relaxed ZrBiNO2 crystal.

CIF file:
```
data_ZrBiNO2
_chemical_formula_sum 'Zr1 Bi1 N1 O2'
_space_group_name_H-M_alt 'P 4/m m m'
_space_group_IT_number 123
_space_group_name_Hall '-P 4 2'
_cell_length_a 4.246
_cell_length_b 4.246
_cell_length_c 4.347
_cell_angle_alpha 90.00
_cell_angle_beta 90.00
_cell_angle_gamma 90.00
loop_
_atom_site_label
_atom_site_type_symbol
_atom_site_fract_x
_atom_site_fract_y
_atom_site_fract_z
Zr1 Zr 0.000 0.000 0.000
Bi1 Bi 0.500 0.500 0.500
N1 N 0.500 0.500 0.000
O1 O 0.000 0.500 0.500
```

* raw formation energy: 17 meV/atom

---

DFT (PBE) results for a relaxed ZrBiN2O crystal.

CIF file:
```
data_ZrBiN2O
_chemical_formula_sum 'Zr1 Bi1 N2 O1'
_space_group_name_H-M_alt 'P 4/m m m'
_space_group_IT_number 123
_space_group_name_Hall '-P 4 2'
_cell_length_a 4.269
_cell_length_b 4.269
_cell_length_c 4.123
_cell_angle_alpha 90.00
_cell_angle_beta 90.00
_cell_angle_gamma 90.00
loop_
_atom_site_label
_atom_site_type_symbol
_atom_site_fract_x
_atom_site_fract_y
_atom_site_fract_z
Zr1 Zr 0.000 0.000 0.000
Bi1 Bi 0.500 0.500 0.500
N1 N 0.000 0.500 0.000
O1 O 0.000 0.000 0.500
```

* raw formation energy: -413 meV/atom

---

DFT (PBE) results for a relaxed BiOs3N crystal.

CIF file:
```
data_BiOs3N
_chemical_formula_sum 'Bi1 Os3 N1'
_space_group_name_H-M_alt 'P m -3 m'
_space_group_IT_number 221
_space_group_name_Hall '-P 4 2 3'
_cell_length_a 5.027
_cell_length_b 5.027
_cell_length_c 5.027
_cell_angle_alpha 90.00
_cell_angle_beta 90.00
_cell_angle_gamma 90.00
loop_
_atom_site_label
_atom_site_type_symbol
_atom_site_fract_x
_atom_site_fract_y
_atom_site_fract_z
Bi1 Bi 0.000 0.000 0.000
Os1 Os 0.000 0.000 0.500
N1 N 0.500 0.500 0.500
```

* energy relative to the lowest polymorph listed for this composition: 3258 meV/atom
* raw formation energy: 4301 meV/atom

---

DFT (PBE) results for a relaxed BiOsN2 crystal.

CIF file:
```
data_BiOsN2
_chemical_formula_sum 'Bi4 Os4 N8'
_space_group_name_H-M_alt 'I -4 2 d'
_space_group_IT_number 122
_space_group_name_Hall 'I -4 2bw'
_cell_length_a 5.473
_cell_length_b 5.473
_cell_length_c 8.942
_cell_angle_alpha 90.00
_cell_angle_beta 90.00
_cell_angle_gamma 90.00
loop_
_atom_site_label
_atom_site_type_symbol
_atom_site_fract_x
_atom_site_fract_y
_atom_site_fract_z
Bi1 Bi 0.000 0.000 0.000
Os1 Os 0.000 0.000 0.500
N1 N 0.131 0.250 0.625
```

* raw formation energy: 736 meV/atom

---

DFT (PBE) results for a relaxed BiOs2N crystal.

CIF file:
```
data_BiOs2N
_chemical_formula_sum 'Bi4 Os8 N4'
_space_group_name_H-M_alt 'I -4 2 d'
_space_group_IT_number 122
_space_group_name_Hall 'I -4 2bw'
_cell_length_a 5.423
_cell_length_b 5.423
_cell_length_c 9.887
_cell_angle_alpha 90.00
_cell_angle_beta 90.00
_cell_angle_gamma 90.00
loop_
_atom_site_label
_atom_site_type_symbol
_atom_site_fract_x
_atom_site_fract_y
_atom_site_fract_z
Bi1 Bi 0.000 0.000 0.000
Os1 Os 0.123 0.250 0.625
N1 N 0.000 0.000 0.500
```

* energy relative to the lowest polymorph listed for this composition: 0 meV/atom
* raw formation energy: 835 meV/atom

---

DFT (PBE) results for a relaxed BiOsN2 crystal.

CIF file:
```
data_BiOsN2
_chemical_formula_sum 'Bi3 Os3 N6'
_space_group_name_H-M_alt 'R -3 m'
_space_group_IT_number 166
_space_group_name_Hall '-R 3 2"'
_cell_length_a 3.3658
_cell_length_b 3.3658
_cell_length_c 19.6947
_cell_angle_alpha 90.00
_cell_angle_beta 90.00
_cell_angle_gamma 120.00
loop_
_atom_site_label
_atom_site_type_symbol
_atom_site_fract_x
_atom_site_fract_y
_atom_site_fract_z
Bi1 Bi 0.0000 0.0000 0.0000
Os1 Os 0.0000 0.0000 0.5000
N1 N 0.0000 0.0000 0.4056
```

* raw formation energy: 1089 meV/atom

---

DFT (PBE) results for a relaxed BiOs3N crystal.

CIF file:
```
data_BiOs3N
_chemical_formula_sum 'Bi1 Os3 N1'
_space_group_name_H-M_alt 'P m -3 m'
_space_group_IT_number 221
_space_group_name_Hall '-P 4 2 3'
_cell_length_a 4.220
_cell_length_b 4.220
_cell_length_c 4.220
_cell_angle_alpha 90.00
_cell_angle_beta 90.00
_cell_angle_gamma 90.00
loop_
_atom_site_label
_atom_site_type_symbol
_atom_site_fract_x
_atom_site_fract_y
_atom_site_fract_z
Bi1 Bi 0.000 0.000 0.000
Os1 Os 0.000 0.500 0.500
N1 N 0.500 0.500 0.500
```

* energy relative to the lowest polymorph listed for this composition: 0 meV/atom
* raw formation energy: 1044 meV/atom

---

DFT (PBE) results for a relaxed BiOs2N crystal.

CIF file:
```
data_BiOs2N
_chemical_formula_sum 'Bi4 Os8 N4'
_space_group_name_H-M_alt 'F m -3 m'
_space_group_IT_number 225
_space_group_name_Hall '-F 4 2 3'
_cell_length_a 6.269
_cell_length_b 6.269
_cell_length_c 6.269
_cell_angle_alpha 90.00
_cell_angle_beta 90.00
_cell_angle_gamma 90.00
loop_
_atom_site_label
_atom_site_type_symbol
_atom_site_fract_x
_atom_site_fract_y
_atom_site_fract_z
Bi1 Bi 0.000 0.000 0.000
Os1 Os 0.250 0.250 0.250
N1 N 0.000 0.000 0.500
```

* energy relative to the lowest polymorph listed for this composition: 1079 meV/atom
* raw formation energy: 1914 meV/atom

---

DFT (PBE) results for a relaxed BiOsSeN2 crystal.

CIF file:
```
data_BiOsSeN2
_chemical_formula_sum 'Bi1 Os1 Se1 N2'
_space_group_name_H-M_alt 'P 4/m m m'
_space_group_IT_number 123
_space_group_name_Hall '-P 4 2'
_cell_length_a 3.965
_cell_length_b 3.965
_cell_length_c 5.277
_cell_angle_alpha 90.00
_cell_angle_beta 90.00
_cell_angle_gamma 90.00
loop_
_atom_site_label
_atom_site_type_symbol
_atom_site_fract_x
_atom_site_fract_y
_atom_site_fract_z
Bi1 Bi 0.000 0.000 0.000
Os1 Os 0.500 0.500 0.500
Se1 Se 0.500 0.500 0.000
N1 N 0.000 0.500 0.500
```

* energy relative to the lowest polymorph listed for this composition: 0 meV/atom
* raw formation energy: 752 meV/atom

---

DFT (PBE) results for a relaxed BiOsSeN2 crystal.

CIF file:
```
data_BiOsSeN2
_chemical_formula_sum 'Bi1 Os1 Se1 N2'
_space_group_name_H-M_alt 'P 4/m m m'
_space_group_IT_number 123
_space_group_name_Hall '-P 4 2'
_cell_length_a 4.176
_cell_length_b 4.176
_cell_length_c 5.910
_cell_angle_alpha 90.00
_cell_angle_beta 90.00
_cell_angle_gamma 90.00
loop_
_atom_site_label
_atom_site_type_symbol
_atom_site_fract_x
_atom_site_fract_y
_atom_site_fract_z
Bi1 Bi 0.000 0.000 0.000
Os1 Os 0.500 0.500 0.500
Se1 Se 0.000 0.000 0.500
N1 N 0.000 0.500 0.000
```

* energy relative to the lowest polymorph listed for this composition: 1674 meV/atom
* raw formation energy: 2426 meV/atom

---

DFT (PBE) results for a relaxed TcBiOsN2 crystal.

CIF file:
```
data_TcBiOsN2
_chemical_formula_sum 'Tc1 Bi1 Os1 N2'
_space_group_name_H-M_alt 'P 4/m m m'
_space_group_IT_number 123
_space_group_name_Hall '-P 4 2'
_cell_length_a 3.840
_cell_length_b 3.840
_cell_length_c 6.179
_cell_angle_alpha 90.00
_cell_angle_beta 90.00
_cell_angle_gamma 90.00
loop_
_atom_site_label
_atom_site_type_symbol
_atom_site_fract_x
_atom_site_fract_y
_atom_site_fract_z
Tc1 Tc 0.000 0.000 0.000
Bi1 Bi 0.500 0.500 0.000
Os1 Os 0.500 0.500 0.500
N1 N 0.000 0.500 0.500
```

* raw formation energy: 1218 meV/atom

---

DFT (PBE) results for a relaxed BiTeOsN2 crystal.

CIF file:
```
data_BiTeOsN2
_chemical_formula_sum 'Bi1 Te1 Os1 N2'
_space_group_name_H-M_alt 'P 4/m m m'
_space_group_IT_number 123
_space_group_name_Hall '-P 4 2'
_cell_length_a 4.048
_cell_length_b 4.048
_cell_length_c 5.645
_cell_angle_alpha 90.00
_cell_angle_beta 90.00
_cell_angle_gamma 90.00
loop_
_atom_site_label
_atom_site_type_symbol
_atom_site_fract_x
_atom_site_fract_y
_atom_site_fract_z
Bi1 Bi 0.000 0.000 0.000
Te1 Te 0.500 0.500 0.000
Os1 Os 0.500 0.500 0.500
N1 N 0.000 0.500 0.500
```

* energy relative to the lowest polymorph listed for this composition: 0 meV/atom
* raw formation energy: 990 meV/atom

---

DFT (PBE) results for a relaxed BiTeOsN2 crystal.

CIF file:
```
data_BiTeOsN2
_chemical_formula_sum 'Bi1 Te1 Os1 N2'
_space_group_name_H-M_alt 'P 4/m m m'
_space_group_IT_number 123
_space_group_name_Hall '-P 4 2'
_cell_length_a 4.189
_cell_length_b 4.189
_cell_length_c 6.666
_cell_angle_alpha 90.00
_cell_angle_beta 90.00
_cell_angle_gamma 90.00
loop_
_atom_site_label
_atom_site_type_symbol
_atom_site_fract_x
_atom_site_fract_y
_atom_site_fract_z
Bi1 Bi 0.000 0.000 0.000
Te1 Te 0.000 0.000 0.500
Os1 Os 0.500 0.500 0.500
N1 N 0.000 0.500 0.000
```

* energy relative to the lowest polymorph listed for this composition: 1370 meV/atom
* raw formation energy: 2361 meV/atom

---

DFT (PBE) results for a relaxed BiTe2OsN crystal.

CIF file:
```
data_BiTe2OsN
_chemical_formula_sum 'Bi1 Te2 Os1 N1'
_space_group_name_H-M_alt 'P 4/m m m'
_space_group_IT_number 123
_space_group_name_Hall '-P 4 2'
_cell_length_a 5.837
_cell_length_b 5.837
_cell_length_c 4.149
_cell_angle_alpha 90.00
_cell_angle_beta 90.00
_cell_angle_gamma 90.00
loop_
_atom_site_label
_atom_site_type_symbol
_atom_site_fract_x
_atom_site_fract_y
_atom_site_fract_z
Bi1 Bi 0.000 0.000 0.000
Te1 Te 0.000 0.500 0.000
Os1 Os 0.500 0.500 0.500
N1 N 0.000 0.000 0.500
```

* energy relative to the lowest polymorph listed for this composition: 1830 meV/atom
* raw formation energy: 2107 meV/atom

---

DFT (PBE) results for a relaxed BiTe2OsN crystal.

CIF file:
```
data_BiTe2OsN
_chemical_formula_sum 'Bi1 Te2 Os1 N1'
_space_group_name_H-M_alt 'P 4/m m m'
_space_group_IT_number 123
_space_group_name_Hall '-P 4 2'
_cell_length_a 5.562
_cell_length_b 5.562
_cell_length_c 3.745
_cell_angle_alpha 90.00
_cell_angle_beta 90.00
_cell_angle_gamma 90.00
loop_
_atom_site_label
_atom_site_type_symbol
_atom_site_fract_x
_atom_site_fract_y
_atom_site_fract_z
Bi1 Bi 0.000 0.000 0.000
Te1 Te 0.000 0.500 0.500
Os1 Os 0.500 0.500 0.500
N1 N 0.500 0.500 0.000
```

* energy relative to the lowest polymorph listed for this composition: 0 meV/atom
* raw formation energy: 277 meV/atom

---

DFT (PBE) results for a relaxed Th3BiOsN crystal.

CIF file:
```
data_Th3BiOsN
_chemical_formula_sum 'Th6 Bi2 Os2 N2'
_space_group_name_H-M_alt 'P 1 21/m 1'
_space_group_IT_number 11
_cell_length_a 9.098
_cell_length_b 4.214
_cell_length_c 9.424
_cell_angle_alpha 90.00
_cell_angle_beta 104.94
_cell_angle_gamma 90.00
loop_
_space_group_symop_operation_xyz
'x,y,z'
'-x,-y,-z'
'-x,y+1/2,-z'
'x,-y+1/2,z'
loop_
_atom_site_label
_atom_site_type_symbol
_atom_site_fract_x
_atom_site_fract_y
_atom_site_fract_z
Th1 Th 0.055 0.250 0.345
Th2 Th 0.329 0.250 0.970
Th3 Th 0.366 0.750 0.651
Bi1 Bi 0.321 0.750 0.265
Os1 Os 0.155 0.250 0.653
N1 N 0.418 0.750 0.904
```

* raw formation energy: -832 meV/atom

---

DFT (PBE) results for a relaxed BiP2N crystal.

CIF file:
```
data_BiP2N
_chemical_formula_sum 'Bi4 P8 N4'
_space_group_name_H-M_alt 'F m -3 m'
_space_group_IT_number 225
_space_group_name_Hall '-F 4 2 3'
_cell_length_a 6.509
_cell_length_b 6.509
_cell_length_c 6.509
_cell_angle_alpha 90.00
_cell_angle_beta 90.00
_cell_angle_gamma 90.00
loop_
_atom_site_label
_atom_site_type_symbol
_atom_site_fract_x
_atom_site_fract_y
_atom_site_fract_z
Bi1 Bi 0.000 0.000 0.000
P1 P 0.250 0.250 0.250
N1 N 0.000 0.000 0.500
```

* energy relative to the lowest polymorph listed for this composition: 875 meV/atom
* raw formation energy: 1619 meV/atom